DFT (PBE-GGA) results for AcLaDy3 after structural relaxation.

CIF file:
```
data_AcLaDy3
_chemical_formula_sum 'Ac4 La4 Dy12'
_cell_length_a 9.518
_cell_length_b 6.474
_cell_length_c 12.606
_cell_angle_alpha 90.00
_cell_angle_beta 113.94
_cell_angle_gamma 90.00
_symmetry_space_group_name_H-M 'P 1 21/c 1'
_symmetry_Int_Tables_number 14
_symmetry_space_group_name_Hall '-P 2ybc'
loop_
_atom_site_label
_atom_site_type_symbol
_atom_site_fract_x
_atom_site_fract_y
_atom_site_fract_z
Ac1 Ac 0.155 0.172 0.103
La1 La 0.262 0.666 0.002
Dy1 Dy 0.051 0.665 0.204
Dy2 Dy 0.352 0.161 0.900
Dy3 Dy 0.447 0.674 0.800
```

Results
magnetic moment: 0.0 μB per cell
theoretical density: 7.99 g cm⁻³
density of states at the Fermi level: 35.076 states/eV per cell
formation energy from the elements: 0.26 eV per formula unit